First-principles (PBEsol) data for GeAs2WBr after structural relaxation, as listed in the Alexandria database.

```
5
Lattice="4.8053 0.0000 0.0000 0.0000 4.8053 0.0000 0.0000 0.0000 5.1776" Properties=species:S:1:pos:R:3 pbc="T T T"
Br 0.0000 0.0000 2.5888
Ge 2.4027 2.4027 2.5888
As 0.0000 2.4027 0.0000
As 2.4027 0.0000 0.0000
W 0.0000 0.0000 0.0000
```

SG	P4/mmm, No. 123
energy relative to the elements, uncorrected	0.71	eV per atom

First-principles (PBEsol) data for Hg3BBr after structural relaxation, as listed in the Alexandria database.

```
5
Lattice="4.6963 0.0000 0.0000 0.0000 4.6963 0.0000 0.0000 0.0000 4.6963" Properties=species:S:1:pos:R:3 pbc="T T T"
Hg 0.0000 2.3481 0.0000
Hg 0.0000 0.0000 2.3481
Hg 2.3481 0.0000 0.0000
Br 2.3481 2.3481 2.3481
B 0.0000 0.0000 0.0000
```

SG	Pm-3m, No. 221
energy relative to the elements, uncorrected	0.19	eV per atom

First-principles (PBEsol) data for K3AlH6 after structural relaxation, as listed in the Alexandria database.

```
10
Lattice="5.6574 0.0000 0.0000 -2.8287 5.3470 -0.0331 0.0000 3.0226 4.7823" Properties=species:S:1:pos:R:3 pbc="T T T"
K 2.8287 1.5113 2.3912
K 2.8287 4.9404 3.5702
K 0.0000 3.4292 1.1790
H 2.8287 3.7316 0.9879
H 3.9344 0.0000 0.0000
H 0.0000 2.1020 3.3258
H 0.0000 0.9205 1.4565
H 1.7230 0.0000 0.0000
H 0.0000 4.6380 3.7613
Al 0.0000 0.0000 0.0000
```

SG	I4/mmm, No. 139
final energy	-28.9	eV for the cell shown

First-principles (PBEsol) data for Ho3Ga9Pt2 after structural relaxation, as listed in the Alexandria database.

```
14
Lattice="-0.7981 3.9665 0.8586 -5.2479 2.3318 -5.6880 -7.1949 -0.0883 3.6820" Properties=species:S:1:pos:R:3 pbc="T T T"
Ga -6.2214 1.1217 -1.0030
Ga -11.1277 4.2150 0.0707
Ga -8.9707 4.3305 1.5424
Ga -5.1269 0.8146 1.4330
Ga -8.1141 5.3953 -2.5803
Ga -2.5977 1.3926 1.1141
Ga -4.2702 1.8795 -2.6897
Ga -10.6432 4.8174 -2.2614
Ga -2.1132 1.9949 -1.2180
Ho -8.6869 2.7992 -1.0820
Ho -4.5540 3.4107 -0.0653
Ho 0.0000 0.0000 0.0000
Pt -6.1830 3.6487 -2.6789
Pt -7.0579 2.5612 1.5316
```

SG	Immm, No. 71
formation energy	-731.8	meV/atom

First-principles (PBEsol) data for Ga10GePb3O20 after structural relaxation, as listed in the Alexandria database.

```
34
Lattice="-2.4086 -1.5024 4.2605 -4.1200 -8.5429 -2.2910 5.7259 -6.8955 3.8561" Properties=species:S:1:pos:R:3 pbc="T T T"
O 2.7461 -10.3394 6.3346
O 0.3072 -9.1342 1.9559
O 2.6897 -9.0023 3.5668
O 0.2170 -9.7435 4.8209
O 1.4410 -3.9781 1.8053
O -0.5795 -1.9452 1.4495
O 1.3184 -7.1336 5.2624
O -4.2663 -11.5127 1.9566
O -2.0353 -10.1203 3.4148
O -1.2428 -4.4271 0.1297
O -3.5487 -6.6013 -0.5090
O -2.2436 -12.9627 4.0203
O -3.4924 -7.9385 2.2589
O 1.2326 -6.8204 2.4109
O -2.1211 -9.8072 0.5632
O -1.1098 -7.8065 3.8698
O -0.2231 -14.9956 4.3761
O 3.4636 -5.4280 3.8691
O -1.0197 -7.1972 1.0047
O 0.4401 -12.5136 5.6959
Ga 0.6651 -2.5414 2.6597
Ga 1.2131 -13.9508 4.8397
Ga -2.0157 -2.9900 0.9860
Ga -1.4678 -14.3993 3.1659
Ga 2.4378 -5.4302 2.3347
Ga -3.2404 -11.5106 3.4909
Ga -1.7757 -6.1352 -0.2959
Ga -1.7098 -8.6893 2.0959
Ga 0.9730 -10.8056 6.1215
Ga 0.9072 -8.2514 3.7297
Pb -1.4418 -5.4322 3.7652
Pb 0.0000 0.0000 0.0000
Pb 0.6392 -11.5085 2.0605
Ge 0.8030 -7.7192 0.7826
```

SG	C2/m, No. 12
energy relative to the elements, uncorrected	-1.76	eV per atom

First-principles (PBEsol) data for ZrIn3B after structural relaxation, as listed in the Alexandria database.

```
5
Lattice="4.6930 0.0000 0.0000 0.0000 4.6930 0.0000 0.0000 0.0000 4.6930" Properties=species:S:1:pos:R:3 pbc="T T T"
In 0.0000 2.3465 0.0000
In 0.0000 0.0000 2.3465
In 2.3465 0.0000 0.0000
B 0.0000 0.0000 0.0000
Zr 2.3465 2.3465 2.3465
```

SG	Pm-3m, No. 221
formation energy	623.6	meV/atom

First-principles (PBEsol) data for KZrCuS3 after structural relaxation, as listed in the Alexandria database.

```
12
Lattice="-2.9900 -1.2355 -1.8026 3.8394 -5.9380 1.5060 -4.6979 -0.9040 8.4122" Properties=species:S:1:pos:R:3 pbc="T T T"
S -0.3188 -5.3581 4.2014
S 1.5143 -5.0053 0.9190
S -3.5297 -2.7195 3.9142
S -2.9810 -6.9930 5.9334
S -5.3628 -3.0722 7.1967
S -0.8675 -1.0845 2.1822
K -2.3312 -4.0118 6.6167
K -1.5173 -4.0658 1.4990
Cu -4.8660 -1.7220 5.4472
Cu 1.0175 -6.3556 2.6685
Zr -2.3489 -0.4520 4.2061
Zr 0.0000 0.0000 0.0000
```

SG	Cmcm, No. 63
energy relative to the elements, uncorrected	-1.32	eV per atom

First-principles (PBEsol) data for CrAs2 after structural relaxation, as listed in the Alexandria database.

```
6
Lattice="2.9649 0.0000 0.0000 -1.4825 4.3530 0.3014 0.0000 -0.2219 7.5208" Properties=species:S:1:pos:R:3 pbc="T T T"
As 0.0000 1.1807 0.9494
As 1.4825 3.2340 3.2843
As 0.0000 0.8970 4.5379
As 1.4825 2.9503 6.8728
Cr 1.4825 0.5226 6.4718
Cr 0.0000 3.6084 1.3504
```

SG	C2/m, No. 12
formation energy	-25.3	meV/atom

First-principles (PBEsol) data for HgMoAs2 after structural relaxation, as listed in the Alexandria database.

```
4
Lattice="3.3478 0.0000 0.0000 0.0000 4.5339 0.0000 0.0000 0.0000 4.5339" Properties=species:S:1:pos:R:3 pbc="T T T"
As 0.0000 0.0000 2.2670
As 0.0000 2.2670 0.0000
Hg 1.6739 2.2670 2.2670
Mo 1.6739 0.0000 0.0000
```

SG	P4/mmm, No. 123
formation energy	460.4	meV/atom

First-principles (PBEsol) data for CsIn2Br after structural relaxation, as listed in the Alexandria database.

```
4
Lattice="5.7890 0.0000 0.0000 2.8945 5.0134 0.0000 2.8945 1.6711 4.7267" Properties=species:S:1:pos:R:3 pbc="T T T"
In 8.6835 5.0134 3.5450
In 2.8945 1.6711 1.1817
Br 0.0000 0.0000 0.0000
Cs 5.7890 3.3423 2.3633
```

SG	Fm-3m, No. 225
energy relative to the elements, uncorrected	-0.06	eV per atom

First-principles (PBEsol) data for TaIrPt2 after structural relaxation, as listed in the Alexandria database.

```
4
Lattice="2.8373 0.0000 0.0000 0.0000 4.7587 -0.0035 0.0000 -1.5645 4.5050" Properties=species:S:1:pos:R:3 pbc="T T T"
Ir 0.0000 1.5971 2.2508
Pt 0.0000 0.0000 0.0000
Pt 1.4187 2.3793 -0.0017
Ta 1.4187 -0.7822 2.2525
```

SG	P2/m, No. 10
formation energy	-406.2	meV/atom
energy above the lowest structure with this stoichiometry	22.3	kJ/mol of atoms

First-principles (PBEsol) data for CaBrO2 after structural relaxation, as listed in the Alexandria database.

```
4
Lattice="3.5275 0.0000 0.0000 1.7637 3.0549 0.0000 1.7637 1.0183 6.1826" Properties=species:S:1:pos:R:3 pbc="T T T"
O 5.2912 3.0549 1.9401
O 1.7637 1.0183 4.2425
Ca 3.5275 2.0366 3.0913
Br 0.0000 0.0000 0.0000
```

SG	R-3m, No. 166
energy above the lowest structure with this stoichiometry	0.0	kJ/mol of atoms
energy relative to the elements, uncorrected	-1.46	eV per atom

First-principles (PBEsol) data for Hf3CdOs after structural relaxation, as listed in the Alexandria database.

```
5
Lattice="4.9433 0.0000 0.0000 0.0000 4.9433 0.0000 0.0000 0.0000 4.9433" Properties=species:S:1:pos:R:3 pbc="T T T"
Hf 2.4716 0.0000 0.0000
Hf 0.0000 0.0000 2.4716
Hf 0.0000 2.4716 0.0000
Cd 0.0000 0.0000 0.0000
Os 2.4716 2.4716 2.4716
```

SG	Pm-3m, No. 221
formation energy	1876.6	meV/atom

First-principles (PBEsol) data for Gd2Cr2C3 after structural relaxation, as listed in the Alexandria database.

```
7
Lattice="-2.5147 2.0385 -1.0018 0.4232 -4.0407 -3.5532 -3.2515 -2.0196 4.0522" Properties=species:S:1:pos:R:3 pbc="T T T"
C -2.5034 -0.8054 -1.0860
C -2.8397 -3.2164 0.5832
C -1.6258 -1.0098 2.0261
Gd -1.2533 -2.7647 -2.4798
Gd -4.0898 -1.2571 1.9770
Cr -1.5448 -1.7526 0.3113
Cr -3.7983 -2.2692 -0.8142
```

SG	C2/m, No. 12
formation energy	-332.6	meV/atom

First-principles (PBEsol) data for Mg3Sb after structural relaxation, as listed in the Alexandria database.

```
4
Lattice="-1.3649 2.8856 0.9866 -3.6234 -2.6804 2.8267 5.6365 -0.0202 2.1997" Properties=species:S:1:pos:R:3 pbc="T T T"
Mg 1.6071 0.0503 2.0762
Mg -3.7320 -0.8130 2.8723
Mg -0.9361 0.1516 3.9188
Sb -1.2007 -0.8882 0.9367
```

SG	Imm2, No. 44
energy above the lowest structure with this stoichiometry	9.6	kJ/mol of atoms
energy relative to the elements, uncorrected	-0.09	eV per atom

First-principles (PBEsol) data for La2AgMo after structural relaxation, as listed in the Alexandria database.

```
4
Lattice="-3.1050 -3.8662 0.5334 1.7771 -4.6587 -0.1069 0.1053 -2.7251 4.1756" Properties=species:S:1:pos:R:3 pbc="T T T"
La -0.3056 -2.8125 1.1505
La 0.0000 0.0000 0.0000
Mo -0.9169 -8.4375 3.4516
Ag -0.6113 -5.6250 2.3011
```

SG	F-43m, No. 216
formation energy	413.9	meV/atom
energy above the lowest structure with this stoichiometry	3.9	kJ/mol of atoms

First-principles (PBEsol) data for KCoPt2 after structural relaxation, as listed in the Alexandria database.

```
4
Lattice="2.7027 0.0000 0.0000 0.0000 4.8958 0.0000 0.0000 0.0000 4.9425" Properties=species:S:1:pos:R:3 pbc="T T T"
Pt 0.0000 0.0000 0.0000
Pt 1.3513 2.4479 0.0000
K 0.0000 2.4479 2.4712
Co 1.3513 0.0000 2.4712
```

SG	Pmmm, No. 47
formation energy	639.5	meV/atom
energy above the lowest structure with this stoichiometry	28.5	kJ/mol of atoms

First-principles (PBEsol) data for Dy2AlZn after structural relaxation, as listed in the Alexandria database.

```
4
Lattice="5.0001 0.0000 0.0000 2.5001 4.3302 0.0000 2.5001 1.4434 4.0826" Properties=species:S:1:pos:R:3 pbc="T T T"
Dy 2.5001 1.4434 1.0206
Dy 7.5002 4.3302 3.0619
Zn 0.0000 0.0000 0.0000
Al 5.0001 2.8868 2.0413
```

SG	Fm-3m, No. 225
formation energy	-375.3	meV/atom

First-principles (PBEsol) data for TiCu2PdPb after structural relaxation, as listed in the Alexandria database.

```
5
Lattice="4.6733 0.0000 0.0000 0.0000 4.6733 0.0000 0.0000 0.0000 5.1638" Properties=species:S:1:pos:R:3 pbc="T T T"
Ti 0.0000 0.0000 2.5819
Cu 2.3366 0.0000 0.0000
Cu 0.0000 2.3366 0.0000
Pb 0.0000 0.0000 0.0000
Pd 2.3366 2.3366 2.5819
```

SG	P4/mmm, No. 123
formation energy	1286.7	meV/atom

First-principles (PBEsol) data for SrSbRh2 after structural relaxation, as listed in the Alexandria database.

```
4
Lattice="4.4625 0.0000 0.0000 2.2313 3.8647 0.0000 2.2313 1.2882 5.2259" Properties=species:S:1:pos:R:3 pbc="T T T"
Rh 6.6938 3.8647 4.7633
Rh 2.2313 1.2882 0.4626
Sr 4.4625 2.5764 2.6130
Sb 0.0000 0.0000 0.0000
```

SG	R-3m, No. 166
energy relative to the elements, uncorrected	-0.50	eV per atom